DFT (GGA+U) results for Ni2RuF2 after structural relaxation.

Its offset from the most stable computed form is 0.00 eV per formula unit. The total magnetic moment is 5.31 Bohr magnetons per cell. Its space group is No. 139.

```
Ni2RuF2
1.0
-2.3749 -1.2473 -2.0104
2.0295 -2.5380 -0.8228
-2.1326 -4.7941 2.6988
Ru F Ni
1 2 2
Direct
0.0000 0.0000 0.0000
0.7500 0.2500 0.5000
0.2500 0.7500 0.5000
0.3753 0.3753 0.2494
0.6247 0.6247 0.7506
```